(1)
Compound: TlPb3Se
Source: Alexandria via LeMat-Bulk
Functional: PBE-GGA
Structure: relaxed

For the magnetization, the calculation gives 0.00 μB per formula unit. The polymorph energy (0 for the lowest one) is 1.929 eV per formula unit. The value obtained for the formation energy from raw total energies is 568 meV/atom.

The structure belongs to space group Pm-3m (No. 221); the cell edges are 5.850, 5.850 and 5.850 Å and the angles 90.00°, 90.00° and 90.00°. Symmetry generates all atoms from Tl at (0.000, 0.000, 0.000), Pb at (0.000, 0.000, 0.500) and Se at (0.500, 0.500, 0.500).

=====

(2)
Compound: Tl8PbSe6
Source: Alexandria via LeMat-Bulk
Functional: PBE-GGA
Structure: relaxed

For the magnetization, the calculation gives 0.00 μB per formula unit. The value obtained for the formation energy from raw total energies is -354 meV/atom.

The structure belongs to space group R-3 (No. 148, hexagonal axes); the cell edges are 7.5094, 7.5094 and 29.4630 Å and the angles 90.00°, 90.00° and 120.00°. Symmetry generates all atoms from Tl at (0.0000, 0.0000, 0.1659), Tl at (0.0013, 0.6657, 0.6200), Pb at (0.0000, 0.0000, 0.5000) and Se at (0.0015, 0.6709, 0.4371).